{"formula": "Dy3Ho2Er7", "functional": "GGA-PBE", "state": "relaxed", "n_ef_per_ev_cell": 18.49, "ef_ev_per_atom": 0.320, "e_tot_ry_per_atom": -0.3128, "polymorph_energy_ev_per_atom": 0.155, "lattice": [[6.099, 0.000, 0.000], [0.000, 5.489, 0.000], [-0.658, 0.000, 11.851]], "species": ["Dy", "Dy", "Dy", "Ho", "Ho", "Er", "Er", "Er", "Er", "Er", "Er", "Er"], "fractional_positions": [[0.000, 0.000, 0.000], [0.455, 0.500, 0.332], [0.545, 0.500, 0.668], [0.119, 0.000, 0.282], [0.881, 0.000, 0.718], [0.060, 0.500, 0.822], [0.268, 0.000, 0.552], [0.411, 0.000, 0.836], [0.500, 0.500, 0.000], [0.589, 0.000, 0.164], [0.732, 0.000, 0.448], [0.940, 0.500, 0.178]]}

=====

{"formula": "Ba4SI3", "functional": "GGA-PBE", "state": "relaxed", "n_ef_per_ev_cell": 8.60, "e_tot_ry_per_atom": -0.2611, "lattice": [[8.720, 0.000, 0.000], [0.000, 9.701, 0.000], [-2.673, 0.000, 7.801]], "species": ["Ba", "Ba", "Ba", "Ba", "Ba", "Ba", "Ba", "Ba", "S", "S", "I", "I", "I", "I", "I", "I"], "fractional_positions": [[0.207, 0.108, 0.496], [0.207, 0.892, 0.996], [0.219, 0.353, 0.977], [0.219, 0.647, 0.477], [0.781, 0.353, 0.523], [0.781, 0.647, 0.023], [0.793, 0.108, 0.004], [0.793, 0.892, 0.504], [0.000, 0.123, 0.750], [0.000, 0.877, 0.250], [0.000, 0.376, 0.250], [0.000, 0.624, 0.750], [0.500, 0.123, 0.250], [0.500, 0.375, 0.750], [0.500, 0.625, 0.250], [0.500, 0.877, 0.750]]}

=====

{"formula": "Li2LaSn2Hg2", "functional": "GGA-PBE", "state": "relaxed", "n_ef_per_ev_cell": 2.21, "ef_ev_per_atom": -0.471, "e_tot_ry_per_atom": -0.2170, "lattice": [[2.365, 1.366, 8.562], [-2.365, 1.366, 8.562], [0.000, -2.731, 8.562]], "species": ["Li", "Li", "La", "Sn", "Sn", "Hg", "Hg"], "fractional_positions": [[0.143, 0.143, 0.143], [0.857, 0.857, 0.857], [0.000, 0.000, 0.000], [0.261, 0.261, 0.261], [0.739, 0.739, 0.739], [0.442, 0.442, 0.442], [0.558, 0.558, 0.558]]}

=====

{"formula": "Hf2ZrV2", "functional": "GGA-PBE", "state": "relaxed", "n_ef_per_ev_cell": 14.94, "ef_ev_per_atom": 0.198, "e_tot_ry_per_atom": -0.6718, "polymorph_energy_ev_per_atom": 0.000, "lattice": [[7.425, 0.000, 0.000], [0.000, 7.425, 0.000], [0.000, 0.000, 3.506]], "species": ["Hf", "Hf", "Hf", "Hf", "Zr", "Zr", "V", "V", "V", "V"], "fractional_positions": [[0.177, 0.323, 0.000], [0.323, 0.823, 0.000], [0.677, 0.177, 0.000], [0.823, 0.677, 0.000], [0.000, 0.000, 0.500], [0.500, 0.500, 0.500], [0.113, 0.613, 0.500], [0.387, 0.113, 0.500], [0.613, 0.887, 0.500], [0.887, 0.387, 0.500]]}